Ca4TmS5 | PBE | optimized geometry Values from VASP.

Output
Energy relative to the elements, uncorrected: -2.097 eV per atom
Calculated volume: 22.404 Å³/atom
E_tot: -54.08 eV for the cell shown
Crystal system: tetragonal

Geometry as Quantum ESPRESSO input:
```
&SYSTEM
  ibrav = 0, nat = 10, ntyp = 3
/
ATOMIC_SPECIES
Tm 168.93 Tm.upf
Ca 40.08 Ca.upf
S 32.06 S.upf
ATOMIC_POSITIONS angstrom
Tm 0.0061 0.0000 0.0029
Ca 1.4489 1.2777 3.4910
S 3.4034 5.0804 5.9207
S 2.5419 0.0000 1.2260
Ca 2.8928 2.5150 6.9792
S 4.0122 1.2268 4.6585
Ca 4.5227 3.7922 3.6000
S 5.4071 2.4529 8.2484
S 2.0085 3.8543 2.3308
Ca 5.9667 5.0295 7.0882
CELL_PARAMETERS angstrom
5.0727 0.0000 2.4467
2.5364 6.3072 1.2234
-0.2037 0.0000 6.9042
```